[1]
Pu2UF11 | PBE | optimized geometry

The structure belongs to space group Ibam (No. 72); the cell edges are 8.392, 10.566 and 11.231 Å and the angles 90.00°, 90.00° and 90.00°. The asymmetric unit holds Pu at (0.145, 0.182, 0.000), U at (0.000, 0.500, 0.250), F at (0.000, 0.000, 0.000), F at (0.090, 0.329, 0.146), F at (0.128, 0.217, 0.500) and F at (0.209, 0.434, 0.362).

Its mass density is 6.24 Mg/m³. Its formation energy from raw total energies is -3.573 eV per atom. The total moment is 11.0 μB per formula unit. The calculated total energy comes out at -7.897 eV/atom.

=====

[2]
Tm3Sn3Rh | PBE | optimized geometry

The structure belongs to space group C2/m (No. 12); the cell edges are 10.975, 4.443 and 14.827 Å and the angles 90.00°, 109.15° and 90.00°. The asymmetric unit holds Tm at (0.018, 0.000, 0.379), Tm at (0.099, 0.000, 0.924), Tm at (0.233, 0.000, 0.241), Sn at (0.014, 0.500, 0.233), Sn at (0.129, 0.500, 0.078), Sn at (0.146, 0.500, 0.535) and Rh at (0.242, 0.500, 0.381).

Its mass density is 9.39 Mg/m³. The total moment is 0.0 μB per formula unit. The calculated total energy comes out at -5.428 eV/atom.

=====

[3]
CeLuGe2 | PBE | optimized geometry

The structure belongs to space group P4/mmm (No. 123); the cell edges are 4.703, 4.703 and 4.037 Å and the angles 90.00°, 90.00° and 90.00°. The asymmetric unit holds Ce at (0.000, 0.000, 0.000), Lu at (0.500, 0.500, 0.000) and Ge at (0.000, 0.500, 0.500).

Its mass density is 8.56 Mg/m³. The total moment is 0.2 μB per formula unit. The calculated total energy comes out at -5.540 eV/atom.

=====

[4]
LaGaAgPd3 | PBE | optimized geometry

The structure belongs to space group Cmcm (No. 63); the cell edges are 6.857, 12.146 and 5.939 Å and the angles 90.00°, 90.00° and 90.00°. The asymmetric unit holds La at (0.000, 0.191, 0.250), Ga at (0.000, 0.130, 0.750), Ag at (0.000, 0.428, 0.250), Pd at (0.000, 0.335, 0.750) and Pd at (0.203, 0.000, 0.000).

Its mass density is 8.54 Mg/m³. The total moment is 0.0 μB per formula unit. The calculated total energy comes out at -4.820 eV/atom.

=====

[5]
TaBiPt | PBE | optimized geometry

The structure belongs to space group Cmmm (No. 65); the cell edges are 4.285, 4.497 and 13.331 Å and the angles 90.00°, 90.00° and 90.00°. The asymmetric unit holds Ta at (0.000, 0.000, 0.136), Bi at (0.000, 0.500, 0.300), Pt at (0.000, 0.500, 0.000) and Pt at (0.000, 0.500, 0.500).

Its mass density is 15.13 Mg/m³. The total moment is 0.0 μB per formula unit. The calculated total energy comes out at -7.098 eV/atom. As for the energy relative to the lowest polymorph listed for this composition: 1.15 eV per formula unit.

=====

[6]
SrSc3Ta | PBE | optimized geometry

The structure belongs to space group Pm-3m (No. 221); the cell edges are 4.967, 4.967 and 4.967 Å and the angles 90.00°, 90.00° and 90.00°. The asymmetric unit holds Sr at (0.000, 0.000, 0.000), Sc at (0.000, 0.000, 0.500) and Ta at (0.500, 0.500, 0.500).

Its mass density is 5.47 Mg/m³. The total moment is 0.0 μB per formula unit. The calculated total energy comes out at -4.775 eV/atom. As for the energy relative to the lowest polymorph listed for this composition: 6.22 eV per formula unit.

=====

[7]
Cs2NiHg2I4 | PBE | optimized geometry

The structure belongs to space group I4/mmm (No. 139); the cell edges are 8.561, 8.561 and 10.246 Å and the angles 90.00°, 90.00° and 90.00°. The asymmetric unit holds Cs at (0.000, 0.500, 0.250), Ni at (0.000, 0.000, 0.000), Hg at (0.000, 0.000, 0.304) and I at (0.213, 0.213, 0.000).

Its mass density is 5.45 Mg/m³. Its formation energy from raw total energies is -0.700 eV per atom. The total moment is 0.0 μB per formula unit. The calculated total energy comes out at -2.288 eV/atom.

=====

[8]
TlTcW2 | PBE | optimized geometry

The structure belongs to space group P4mm (No. 99); the cell edges are 3.091, 3.091 and 7.459 Å and the angles 90.00°, 90.00° and 90.00°. The asymmetric unit holds Tl at (0.000, 0.000, 0.000), Tc at (0.500, 0.500, 0.716), W at (0.000, 0.000, 0.519) and W at (0.500, 0.500, 0.297).

Its mass density is 15.61 Mg/m³. The total moment is 0.0 μB per formula unit. The calculated total energy comes out at -9.103 eV/atom. As for the energy relative to the lowest polymorph listed for this composition: 0.03 eV per formula unit.

=====

[9]
AlOs2Pt | PBE | optimized geometry

The structure belongs to space group Cmm2 (No. 35); the cell edges are 2.808, 4.757 and 8.923 Å and the angles 90.00°, 90.00° and 90.00°. The asymmetric unit holds Al at (0.000, 0.000, 0.000), Os at (0.000, 0.000, 0.488), Os at (0.000, 0.500, 0.238) and Pt at (0.000, 0.500, 0.766).

Its mass density is 16.78 Mg/m³. The total moment is 0.3 μB per formula unit. The calculated total energy comes out at -7.931 eV/atom.

=====

[10]
K2ScCo | PBE | optimized geometry

The structure belongs to space group R-3m (No. 166, hexagonal axes); the cell edges are 3.3419, 3.3419 and 36.9886 Å and the angles 90.00°, 90.00° and 120.00°. The asymmetric unit holds K at (0.0000, 0.0000, 0.2390), Sc at (0.0000, 0.0000, 0.0000) and Co at (0.0000, 0.0000, 0.5000).

Its mass density is 2.54 Mg/m³. The total moment is 2.5 μB per formula unit. The calculated total energy comes out at -2.861 eV/atom. As for the energy relative to the lowest polymorph listed for this composition: 2.75 eV per formula unit.

=====

[11]
Tm3Cu | PBE | optimized geometry

The structure belongs to space group Imm2 (No. 44); the cell edges are 3.561, 10.935 and 5.186 Å and the angles 90.00°, 90.00° and 90.00°. The asymmetric unit holds Tm at (0.000, 0.000, 0.000), Tm at (0.000, 0.205, 0.500) and Cu at (0.000, 0.500, 0.999).

Its mass density is 9.38 Mg/m³. The total moment is 0.0 μB per formula unit. The calculated total energy comes out at -4.464 eV/atom.

=====

[12]
TbPr2ThTe5 | PBE | optimized geometry

The structure belongs to space group P4/mmm (No. 123); the cell edges are 5.530, 5.530 and 11.858 Å and the angles 90.00°, 90.00° and 90.00°. The asymmetric unit holds Tb at (0.000, 0.000, 0.000), Pr at (0.500, 0.500, 0.157), Th at (0.000, 0.000, 0.500), Te at (0.000, 0.000, 0.253), Te at (0.000, 0.500, 0.000) and Te at (0.500, 0.500, 0.500).

Its mass density is 6.00 Mg/m³. Its formation energy from raw total energies is -0.702 eV per atom. The total moment is 0.6 μB per formula unit. The calculated total energy comes out at -4.849 eV/atom.